Record 1
The following is a DFT calculation (PBE) of crystalline TbMgZn2 at its relaxed geometry.

a = 3.4013 Å, b = 3.4013 Å, c = 7.0609 Å
α = 90.00°, β = 90.00°, γ = 90.00°
Last column: nearest neighbours and their distance in Å.
Fractional coordinates of all 4 atoms:
Tb  0.0000  0.0000  0.0000  8 Zn 3.10, 4 Tb 3.40
Mg  0.0000  0.0000  0.5000  8 Zn 2.87
Zn  0.5000  0.5000  0.2774  4 Mg 2.87, 4 Tb 3.10, 1 Zn 3.14
Zn  0.5000  0.5000  0.7226  4 Mg 2.87, 4 Tb 3.10, 1 Zn 3.14

Output
Symmetry: P4/mmm, No. 123
Energy of formation (eV per atom): -0.2210



Record 2
The following is a DFT calculation (PBE) of crystalline SrMg2Al4 at its relaxed geometry.

a = 9.4197 Å, b = 9.4197 Å, c = 9.4197 Å
α = 153.66°, β = 152.88°, γ = 38.16°
Last column: nearest neighbours and their distance in Å.
Fractional coordinates of all 7 atoms:
Sr  0.0000  0.0000  0.0000  12 Al 3.36-3.49
Mg  0.3122  0.8122  0.5000  7 Al 2.81-3.14
Mg  0.6878  0.1878  0.5000  7 Al 2.81-3.14
Al  0.1544  0.6544  0.5000  2 Al 2.62, 1 Mg 2.81
Al  0.4247  0.4247  0.0000  3 Al 2.62-2.68
Al  0.5753  0.5753  0.0000  3 Al 2.62-2.68
Al  0.8456  0.3456  0.5000  2 Al 2.62, 1 Mg 2.81

Output
Symmetry: Immm, No. 71
Energy of formation (eV per atom): -0.0390



Record 3
The following is a DFT calculation (PBE) of crystalline MgTc2Os2 at its relaxed geometry.

a = 7.6069 Å, b = 7.6069 Å, c = 2.7710 Å
α = 90.00°, β = 90.00°, γ = 90.00°
Last column: nearest neighbours and their distance in Å.
Fractional coordinates of all 10 atoms:
Mg  0.0000  0.0000  0.0000  2 Mg 2.77, 4 Os 3.01
Mg  0.5000  0.5000  0.0000  2 Mg 2.77, 4 Os 3.01
Tc  0.1674  0.3326  0.5000  6 Os 2.63-2.64, 2 Tc 2.77
Tc  0.3326  0.8326  0.5000  6 Os 2.63-2.64, 2 Tc 2.77
Tc  0.6674  0.1674  0.5000  6 Os 2.63-2.64, 2 Tc 2.77
Tc  0.8326  0.6674  0.5000  6 Os 2.63-2.64, 2 Tc 2.77
Os  0.1234  0.6234  0.0000  6 Tc 2.63-2.64, 3 Os 2.65-2.77
Os  0.3766  0.1234  0.0000  6 Tc 2.63-2.64, 3 Os 2.65-2.77
Os  0.6234  0.8766  0.0000  6 Tc 2.63-2.64, 3 Os 2.65-2.77
Os  0.8766  0.3766  0.0000  6 Tc 2.63-2.64, 3 Os 2.65-2.77

Output
Symmetry: P4/mbm, No. 127
Energy of formation (eV per atom): 0.1412



Record 4
The following is a DFT calculation (PBE) of crystalline CaNd2Rh3 at its relaxed geometry.

a = 3.4941 Å, b = 3.4941 Å, c = 10.6421 Å
α = 90.00°, β = 90.00°, γ = 90.00°
Last column: nearest neighbours and their distance in Å.
Fractional coordinates of all 6 atoms:
Ca  0.0000  0.0000  0.0000  8 Rh 3.08
Nd  0.0000  0.0000  0.3299  8 Rh 2.98-3.06
Nd  0.0000  0.0000  0.6701  8 Rh 2.98-3.06
Rh  0.5000  0.5000  0.1736  4 Nd 2.98, 4 Ca 3.08
Rh  0.5000  0.5000  0.5000  8 Nd 3.06
Rh  0.5000  0.5000  0.8264  4 Nd 2.98, 4 Ca 3.08

Output
Symmetry: P4/mmm, No. 123
Energy of formation (eV per atom): -0.5569



Record 5
The following is a DFT calculation (PBE) of crystalline CrP at its relaxed geometry.

a = 2.8830 Å, b = 10.3685 Å, c = 5.2770 Å
α = 90.00°, β = 90.00°, γ = 90.00°
Last column: nearest neighbours and their distance in Å.
Fractional coordinates of all 12 atoms:
Cr  0.2500  0.1159  0.0126  4 P 2.27-2.33, 2 Cr 2.51
Cr  0.2500  0.3841  0.0126  4 P 2.27-2.33, 2 Cr 2.51
Cr  0.2500  0.7500  0.7010  4 P 2.31-2.38, 4 Cr 2.51
Cr  0.7500  0.2500  0.2990  4 P 2.31-2.38, 4 Cr 2.51
Cr  0.7500  0.6159  0.9874  4 P 2.27-2.33, 2 Cr 2.51
Cr  0.7500  0.8841  0.9874  4 P 2.27-2.33, 2 Cr 2.51
P  0.2500  0.2500  0.6586  4 Cr 2.33-2.38
P  0.2500  0.5277  0.6885  4 Cr 2.27-2.32, 2 P 2.52
P  0.2500  0.9723  0.6885  4 Cr 2.27-2.32, 2 P 2.52
P  0.7500  0.0277  0.3115  4 Cr 2.27-2.32, 2 P 2.52
P  0.7500  0.4723  0.3115  4 Cr 2.27-2.32, 2 P 2.52
P  0.7500  0.7500  0.3414  4 Cr 2.33-2.38

Output
Symmetry: Pmmn, No. 59
Energy of formation (eV per atom): -0.1929



Record 6
The following is a DFT calculation (PBE) of crystalline Tb5Cu3 at its relaxed geometry.

a = 3.4810 Å, b = 3.4810 Å, c = 15.8382 Å
α = 90.00°, β = 90.00°, γ = 90.00°
Last column: nearest neighbours and their distance in Å.
Fractional coordinates of all 8 atoms:
Tb  0.0000  0.0000  0.0000  8 Cu 3.01
Tb  0.0000  0.0000  0.2191  4 Cu 3.01
Tb  0.0000  0.0000  0.7809  4 Cu 3.01
Tb  0.5000  0.5000  0.3901  4 Cu 3.01
Tb  0.5000  0.5000  0.6099  4 Cu 3.01
Cu  0.0000  0.0000  0.5000  8 Tb 3.01
Cu  0.5000  0.5000  0.1093  8 Tb 3.01
Cu  0.5000  0.5000  0.8907  8 Tb 3.01

Output
Symmetry: P4/mmm, No. 123
Energy of formation (eV per atom): -0.1572



Record 7
The following is a DFT calculation (PBE) of crystalline Ho4Th5 at its relaxed geometry.

a = 9.0891 Å, b = 9.0891 Å, c = 9.0891 Å
α = 92.27°, β = 92.27°, γ = 157.05°
Last column: nearest neighbours and their distance in Å.
Fractional coordinates of all 9 atoms:
Ho  0.0000  0.3350  0.3350  6 Ho 3.45-3.62, 4 Th 3.49
Ho  0.0000  0.6650  0.6650  6 Ho 3.45-3.62, 4 Th 3.49
Ho  0.3350  0.0000  0.3350  6 Ho 3.45-3.62, 4 Th 3.49
Ho  0.6650  0.0000  0.6650  6 Ho 3.45-3.62, 4 Th 3.49
Th  0.0000  0.0000  0.0000  10 Th 3.49-3.62
Th  0.3322  0.3322  0.6644  6 Th 3.44-3.62, 4 Ho 3.49
Th  0.3322  0.6678  0.0000  6 Th 3.44-3.62, 4 Ho 3.49
Th  0.6678  0.3322  0.0000  6 Th 3.44-3.62, 4 Ho 3.49
Th  0.6678  0.6678  0.3356  6 Th 3.44-3.62, 4 Ho 3.49

Output
Symmetry: I4/mmm, No. 139
Energy of formation (eV per atom): 0.1233



Record 8
The following is a DFT calculation (PBE) of crystalline Al2Si2P at its relaxed geometry.

a = 3.7535 Å, b = 3.7535 Å, c = 8.3934 Å
α = 90.00°, β = 90.00°, γ = 120.00°
Last column: nearest neighbours and their distance in Å.
Fractional coordinates of all 5 atoms:
Al  0.3333  0.6667  0.1578  1 Si 2.46, 3 P 2.54
Al  0.6667  0.3333  0.8422  1 Si 2.46, 3 P 2.54
Si  0.3333  0.6667  0.4508  3 Si 2.32, 1 Al 2.46
Si  0.6667  0.3333  0.5492  3 Si 2.32, 1 Al 2.46
P  0.0000  0.0000  0.0000  6 Al 2.54

Output
Formation energy from raw total energies (meV per atom): 4
Symmetry: P-3m1, No. 164



Record 9
The following is a DFT calculation (PBE) of crystalline PmZn6Pd at its relaxed geometry.

a = 4.3644 Å, b = 4.3644 Å, c = 7.7561 Å
α = 90.00°, β = 90.00°, γ = 90.00°
Last column: nearest neighbours and their distance in Å.
Fractional coordinates of all 8 atoms:
Pm  0.0000  0.0000  0.0000  16 Zn 3.31-3.32
Zn  0.0000  0.5000  0.3229  3 Zn 2.55-2.75, 2 Pd 2.58
Zn  0.0000  0.5000  0.6771  3 Zn 2.55-2.75, 2 Pd 2.58
Zn  0.5000  0.0000  0.3229  3 Zn 2.55-2.75, 2 Pd 2.58
Zn  0.5000  0.0000  0.6771  3 Zn 2.55-2.75, 2 Pd 2.58
Zn  0.5000  0.5000  0.1533  5 Zn 2.38-2.55
Zn  0.5000  0.5000  0.8467  5 Zn 2.38-2.55
Pd  0.0000  0.0000  0.5000  8 Zn 2.58

Output
Symmetry: P4/mmm, No. 123
Energy of formation (eV per atom): -0.2840



Record 10
The following is a DFT calculation (PBE) of crystalline Ca2LaDy at its relaxed geometry.

a = 5.1238 Å, b = 5.1238 Å, c = 5.6839 Å
α = 90.00°, β = 90.00°, γ = 90.00°
Last column: nearest neighbours and their distance in Å.
Fractional coordinates of all 4 atoms:
Ca  0.0000  0.5000  0.0000  4 Ca 3.62, 4 La 3.83, 4 Dy 3.83
Ca  0.5000  0.0000  0.0000  4 Ca 3.62, 4 La 3.83, 4 Dy 3.83
La  0.0000  0.0000  0.5000  4 Dy 3.62, 8 Ca 3.83
Dy  0.5000  0.5000  0.5000  4 La 3.62, 8 Ca 3.83

Output
Symmetry: P4/mmm, No. 123
Energy of formation (eV per atom): 0.1527



Record 11
The following is a DFT calculation (PBE) of crystalline PrPtS at its relaxed geometry.

a = 5.8169 Å, b = 5.8169 Å, c = 5.6097 Å
α = 90.00°, β = 90.00°, γ = 137.03°
Last column: nearest neighbours and their distance in Å.
Fractional coordinates of all 6 atoms:
Pr  0.1348  0.8652  0.7500  4 S 2.82-3.03, 2 Pt 3.06
Pr  0.8652  0.1348  0.2500  4 S 2.82-3.03, 2 Pt 3.06
Pt  0.4324  0.5676  0.7500  2 S 2.38
Pt  0.5676  0.4324  0.2500  2 S 2.38
S  0.1658  0.8342  0.2500  2 Pt 2.38
S  0.8342  0.1658  0.7500  2 Pt 2.38

Output
Formation energy from raw total energies (meV per atom): -1277
Symmetry: Cmcm, No. 63



Record 12
The following is a DFT calculation (PBE) of crystalline K2LiHgCl5 at its relaxed geometry.

a = 9.1383 Å, b = 9.1383 Å, c = 13.3388 Å
α = 90.00°, β = 90.00°, γ = 153.32°
Last column: nearest neighbours and their distance in Å.
Fractional coordinates of all 18 atoms:
K  0.1071  0.8929  0.5000  5 Cl 3.13-3.28
K  0.1283  0.8717  0.1261  7 Cl 3.13-3.35
K  0.8717  0.1283  0.6261  7 Cl 3.13-3.35
K  0.8929  0.1071  0.0000  5 Cl 3.13-3.28
Li  0.4342  0.5658  0.2458  4 Cl 2.31-2.44
Li  0.5658  0.4342  0.7458  4 Cl 2.31-2.44
Hg  0.2109  0.7891  0.8366  4 Cl 2.54-2.80
Hg  0.7891  0.2109  0.3366  4 Cl 2.54-2.80
Cl  0.0640  0.9360  0.8372  2 Li 2.44, 1 Hg 2.61
Cl  0.2864  0.7136  0.4747  2 Hg 2.80
Cl  0.3047  0.6953  0.1910  1 Li 2.42
Cl  0.3533  0.6467  0.8194  1 Hg 2.54
Cl  0.5004  0.4996  0.0971  1 Li 2.31
Cl  0.4996  0.5004  0.5971  1 Li 2.31
Cl  0.6467  0.3533  0.3194  1 Hg 2.54
Cl  0.6953  0.3047  0.6910  1 Li 2.42
Cl  0.7136  0.2864  0.9747  2 Hg 2.80
Cl  0.9360  0.0640  0.3372  2 Li 2.44, 1 Hg 2.61

Output
Formation energy from raw total energies (meV per atom): -1475
Symmetry: Cmc2_1, No. 36



| no. | magnetic moment (μB per formula unit) | electronic total energy (eV/cell) |
| --- | --- | --- |
| 1 | 0.01 | -9.657 |
| 2 | 0.00 | -20.114 |
| 3 | 0.00 | -88.160 |
| 4 | 0.00 | -36.933 |
| 5 | 0.05 | -92.514 |
| 6 | 0.00 | -36.697 |
| 7 | 0.00 | -54.301 |
| 8 | 0.00 | -23.723 |
| 9 | 0.00 | -19.859 |
| 10 | 0.00 | -12.922 |
| 11 | 0.00 | -37.559 |
| 12 | 0.00 | -53.834 |